The following is a DFT calculation (PBE) of crystalline In2TcIrAu at its relaxed geometry.

```
data_In2TcIrAu
_chemical_formula_sum 'In2 Tc1 Ir1 Au1'
_cell_length_a 5.1803
_cell_length_b 5.1803
_cell_length_c 4.6529
_cell_angle_alpha 90.00
_cell_angle_beta 90.00
_cell_angle_gamma 90.00
_space_group_name_H-M_alt 'P 4/m m m'
_space_group_IT_number 123
_space_group_name_Hall '-P 4 2'
loop_
_atom_site_label
_atom_site_fract_x
_atom_site_fract_y
_atom_site_fract_z
In1 0.0000 0.5000 0.0000
Tc1 0.0000 0.0000 0.0000
Ir1 0.0000 0.0000 0.5000
Au1 0.5000 0.5000 0.5000
```

Computed properties:
ΔE_f, meV/atom: 892
Density of states at the Fermi level, states/eV per atom: 0.845

=====

The following is a DFT calculation (PBE) of crystalline MgHg2As2 at its relaxed geometry.

```
data_MgHg2As2
_chemical_formula_sum 'Mg2 Hg4 As4'
_cell_length_a 7.5663
_cell_length_b 7.5663
_cell_length_c 4.0929
_cell_angle_alpha 90.00
_cell_angle_beta 90.00
_cell_angle_gamma 90.00
_space_group_name_H-M_alt 'P 4/m b m'
_space_group_IT_number 127
_space_group_name_Hall '-P 4 2ab'
loop_
_atom_site_label
_atom_site_fract_x
_atom_site_fract_y
_atom_site_fract_z
Mg1 0.0000 0.0000 0.0000
Hg1 0.1345 0.3655 0.5000
As1 0.1888 0.6888 0.0000
```

Computed properties:
ΔE_f, meV/atom: 98
Density of states at the Fermi level, states/eV per atom: 0.481

=====

The following is a DFT calculation (PBE) of crystalline Sb2TeMoBr at its relaxed geometry.

```
data_Sb2TeMoBr
_chemical_formula_sum 'Sb2 Te1 Mo1 Br1'
_cell_length_a 5.4108
_cell_length_b 5.4108
_cell_length_c 5.6111
_cell_angle_alpha 90.00
_cell_angle_beta 90.00
_cell_angle_gamma 90.00
_space_group_name_H-M_alt 'P 4/m m m'
_space_group_IT_number 123
_space_group_name_Hall '-P 4 2'
loop_
_atom_site_label
_atom_site_fract_x
_atom_site_fract_y
_atom_site_fract_z
Sb1 0.0000 0.5000 0.0000
Te1 0.0000 0.0000 0.5000
Mo1 0.5000 0.5000 0.5000
Br1 0.0000 0.0000 0.0000
```

Computed properties:
Density of states at the Fermi level, states/eV per atom: 1.092
Formation energy (no corrections), eV per atom: 1.49

=====

The following is a DFT calculation (PBE) of crystalline NaTlAg at its relaxed geometry.

```
data_NaTlAg
_chemical_formula_sum 'Na2 Tl2 Ag2'
_cell_length_a 3.7468
_cell_length_b 3.7468
_cell_length_c 10.3253
_cell_angle_alpha 90.00
_cell_angle_beta 90.00
_cell_angle_gamma 90.00
_space_group_name_H-M_alt 'I 4 m m'
_space_group_IT_number 107
_space_group_name_Hall 'I 4 -2'
loop_
_atom_site_label
_atom_site_fract_x
_atom_site_fract_y
_atom_site_fract_z
Na1 0.0000 0.0000 0.0000
Tl1 0.0000 0.0000 0.6848
Ag1 0.0000 0.0000 0.3348
```

Computed properties:
ΔE_f, meV/atom: -16
Density of states at the Fermi level, states/eV per atom: 0.490

=====

The following is a DFT calculation (PBE) of crystalline CrHIr2Os at its relaxed geometry.

```
data_CrHIr2Os
_chemical_formula_sum 'Cr1 H1 Ir2 Os1'
_cell_length_a 3.8545
_cell_length_b 3.8545
_cell_length_c 3.9082
_cell_angle_alpha 90.00
_cell_angle_beta 90.00
_cell_angle_gamma 90.00
_space_group_name_H-M_alt 'P 4/m m m'
_space_group_IT_number 123
_space_group_name_Hall '-P 4 2'
loop_
_atom_site_label
_atom_site_fract_x
_atom_site_fract_y
_atom_site_fract_z
Cr1 0.0000 0.0000 0.0000
H1 0.0000 0.0000 0.5000
Ir1 0.0000 0.5000 0.5000
Os1 0.5000 0.5000 0.0000
```

Computed properties:
VASP energy, eV per atom: -8.35
Density of states at the Fermi level, states/eV per atom: 0.760

=====

The following is a DFT calculation (PBE) of crystalline CuTcSbI2 at its relaxed geometry.

```
data_CuTcSbI2
_chemical_formula_sum 'Cu1 Tc1 Sb1 I2'
_cell_length_a 5.3187
_cell_length_b 5.3187
_cell_length_c 5.2272
_cell_angle_alpha 90.00
_cell_angle_beta 90.00
_cell_angle_gamma 90.00
_space_group_name_H-M_alt 'P 4/m m m'
_space_group_IT_number 123
_space_group_name_Hall '-P 4 2'
loop_
_atom_site_label
_atom_site_fract_x
_atom_site_fract_y
_atom_site_fract_z
Cu1 0.0000 0.0000 0.0000
Tc1 0.5000 0.5000 0.5000
Sb1 0.0000 0.0000 0.5000
I1 0.0000 0.5000 0.0000
```

Computed properties:
Density of states at the Fermi level, states/eV per atom: 0.829
Formation energy (no corrections), eV per atom: 1.09

=====

The following is a DFT calculation (PBE) of crystalline Ir3Au at its relaxed geometry.

```
data_Ir3Au
_chemical_formula_sum 'Ir3 Au1'
_cell_length_a 2.7833
_cell_length_b 3.8422
_cell_length_c 5.7532
_cell_angle_alpha 90.00
_cell_angle_beta 90.00
_cell_angle_gamma 90.00
_space_group_name_H-M_alt 'P m m m'
_space_group_IT_number 47
_space_group_name_Hall '-P 2 2'
loop_
_atom_site_label
_atom_site_fract_x
_atom_site_fract_y
_atom_site_fract_z
Ir1 0.0000 0.0000 0.0000
Ir2 0.5000 0.5000 0.2324
Au1 0.0000 0.0000 0.5000
```

Computed properties:
ΔE_f, meV/atom: 276
Density of states at the Fermi level, states/eV per atom: 0.818

=====

The following is a DFT calculation (PBE) of crystalline Mn2TcSb at its relaxed geometry.

```
data_Mn2TcSb
_chemical_formula_sum 'Mn8 Tc4 Sb4'
_cell_length_a 6.1522
_cell_length_b 6.1522
_cell_length_c 6.1522
_cell_angle_alpha 90.00
_cell_angle_beta 90.00
_cell_angle_gamma 90.00
_space_group_name_H-M_alt 'F -4 3 m'
_space_group_IT_number 216
_space_group_name_Hall 'F -4 2 3'
loop_
_atom_site_label
_atom_site_fract_x
_atom_site_fract_y
_atom_site_fract_z
Mn1 0.0000 0.0000 0.0000
Mn2 0.2500 0.2500 0.2500
Tc1 0.2500 0.2500 0.7500
Sb1 0.0000 0.0000 0.5000
```

Computed properties:
Density of states at the Fermi level, states/eV per atom: 0.577
Formation energy (no corrections), eV per atom: 0.07

=====

The following is a DFT calculation (PBE) of crystalline KSi4O7 at its relaxed geometry.

```
data_KSi4O7
_chemical_formula_sum 'K2 Si8 O14'
_cell_length_a 9.6775
_cell_length_b 5.0208
_cell_length_c 7.8601
_cell_angle_alpha 90.00
_cell_angle_beta 90.00
_cell_angle_gamma 90.00
_space_group_name_H-M_alt 'P m n 21'
_space_group_IT_number 31
_space_group_name_Hall 'P 2ac -2'
loop_
_atom_site_label
_atom_site_fract_x
_atom_site_fract_y
_atom_site_fract_z
K1 0.0000 0.2486 0.0000
Si1 0.1532 0.7263 0.6817
Si2 0.1670 0.7595 0.2701
O1 0.0000 0.8095 0.7605
O2 0.1472 0.7354 0.4779
O3 0.1851 0.4230 0.7463
O4 0.2259 0.0751 0.2503
```

Computed properties:
Formation energy (no corrections), eV per atom: -2.32

=====

The following is a DFT calculation (PBE) of crystalline YScTiBr2 at its relaxed geometry.

```
data_YScTiBr2
_chemical_formula_sum 'Y1 Sc1 Ti1 Br2'
_cell_length_a 5.3401
_cell_length_b 5.3401
_cell_length_c 6.3840
_cell_angle_alpha 90.00
_cell_angle_beta 90.00
_cell_angle_gamma 90.00
_space_group_name_H-M_alt 'P 4/m m m'
_space_group_IT_number 123
_space_group_name_Hall '-P 4 2'
loop_
_atom_site_label
_atom_site_fract_x
_atom_site_fract_y
_atom_site_fract_z
Y1 0.0000 0.0000 0.0000
Sc1 0.5000 0.5000 0.5000
Ti1 0.0000 0.0000 0.5000
Br1 0.0000 0.5000 0.0000
```

Computed properties:
Density of states at the Fermi level, states/eV per atom: 1.456
Formation energy (no corrections), eV per atom: 0.27

=====

The following is a DFT calculation (PBE) of crystalline ZnIr2Rh at its relaxed geometry.

```
data_ZnIr2Rh
_chemical_formula_sum 'Zn1 Ir2 Rh1'
_cell_length_a 2.7613
_cell_length_b 2.7613
_cell_length_c 7.5056
_cell_angle_alpha 90.00
_cell_angle_beta 90.00
_cell_angle_gamma 90.00
_space_group_name_H-M_alt 'P 4 m m'
_space_group_IT_number 99
_space_group_name_Hall 'P 4 -2'
loop_
_atom_site_label
_atom_site_fract_x
_atom_site_fract_y
_atom_site_fract_z
Zn1 0.0000 0.0000 0.0000
Ir1 0.0000 0.0000 0.5009
Ir2 0.5000 0.5000 0.2544
Rh1 0.5000 0.5000 0.7521
```

Computed properties:
ΔE_f, meV/atom: -108
Density of states at the Fermi level, states/eV per atom: 1.048

=====

The following is a DFT calculation (PBE) of crystalline CaSiTeIr2 at its relaxed geometry.

```
data_CaSiTeIr2
_chemical_formula_sum 'Ca1 Si1 Te1 Ir2'
_cell_length_a 4.8951
_cell_length_b 4.8951
_cell_length_c 5.5135
_cell_angle_alpha 90.00
_cell_angle_beta 90.00
_cell_angle_gamma 90.00
_space_group_name_H-M_alt 'P 4/m m m'
_space_group_IT_number 123
_space_group_name_Hall '-P 4 2'
loop_
_atom_site_label
_atom_site_fract_x
_atom_site_fract_y
_atom_site_fract_z
Ca1 0.0000 0.0000 0.0000
Si1 0.5000 0.5000 0.5000
Te1 0.0000 0.0000 0.5000
Ir1 0.0000 0.5000 0.0000
```

Computed properties:
Density of states at the Fermi level, states/eV per atom: 1.581
Formation energy (no corrections), eV per atom: 1.95